# 1
Below is crystalline Ac3NiB2Pt9 at its relaxed geometry, with properties calculated at the PBE level.

```
Ac3NiB2Pt9
1.0
6.769 0.000 0.000
-3.385 5.862 0.000
0.000 0.000 7.207
Ac Ni B Pt
3 1 2 9
direct
0.000 0.000 0.000
0.333 0.667 0.661
0.667 0.333 0.339
0.000 0.000 0.500
0.333 0.667 0.145
0.667 0.333 0.855
0.000 0.500 0.000
0.181 0.362 0.312
0.181 0.819 0.312
0.362 0.181 0.688
0.500 0.000 0.000
0.500 0.500 0.000
0.638 0.819 0.312
0.819 0.181 0.688
0.819 0.638 0.688
```

# 2
Below is crystalline MgIn14Sn at its relaxed geometry, with properties calculated at the PBE level.

```
MgIn14Sn
1.0
11.080 0.000 0.000
0.000 3.344 5.763
0.000 -3.344 5.763
Mg In Sn
1 14 1
direct
0.000 0.000 0.000
0.000 0.000 0.499
0.000 0.499 0.000
0.246 0.833 0.833
0.247 0.331 0.833
0.247 0.833 0.331
0.253 0.331 0.331
0.500 0.160 0.665
0.500 0.161 0.161
0.500 0.663 0.663
0.500 0.665 0.160
0.747 0.331 0.331
0.753 0.331 0.833
0.753 0.833 0.331
0.754 0.833 0.833
0.000 0.497 0.497
```

Short version: energy of formation = -653 2 meV per atom, in the order given.